Crystalline PaNi3 at its relaxed geometry, computed with PBE.

Cell: 8.703 8.703 8.703 Å, 32.49 32.49 32.49°
Fractional coordinates of all 12 atoms:
Ni1 0.667 0.667 0.667
Ni2 0.333 0.333 0.333
Ni3 0.418 0.917 0.418
Ni4 0.917 0.418 0.418
Pa1 0.140 0.140 0.140
Ni5 0.418 0.418 0.917
Ni6 0.582 0.083 0.582
Ni7 0.083 0.582 0.582
Ni8 0.582 0.582 0.083
Ni9 0.500 0.500 0.500
Pa2 0.000 0.000 0.000
Pa3 0.860 0.860 0.860

The symmetry is R-3m. The volume comes out at 14.10 Å³ per atom. The formation energy is -1.71 eV per formula unit.